Entry 1:
# MgVGa2O6

MgVGa2O6 after structural relaxation (GGA+U, Alexandria).

a = 5.0164 Å, b = 5.1108 Å, c = 5.4095 Å
α = 62.10°, β = 89.42°, γ = 60.88°
Sites, in units of the cell vectors:
Mg  0.0000  0.0000  0.0000
V  0.4956  0.0078  0.4839
Ga  0.2928  0.4216  0.8654
Ga  0.7803  0.4415  0.3595
O  0.1001  0.4985  0.1875
O  0.2341  0.8937  0.6860
O  0.4101  0.9111  0.1866
O  0.5957  0.2115  0.6804
O  0.6908  0.2200  0.1943
O  0.8942  0.5368  0.6699

## Properties
- space-group type = P1 (1)
- VASP energy (hartree per atom) = -0.23980


Entry 2:
# MgVGaO4

MgVGaO4 after structural relaxation (GGA+U, Alexandria).

a = 5.9641 Å, b = 5.9641 Å, c = 5.9641 Å
α = 120.08°, β = 119.27°, γ = 90.57°
Sites, in units of the cell vectors:
Mg  0.5000  0.0000  0.0000
Mg  0.5000  0.5000  0.5000
V  0.0000  0.0000  0.0000
V  0.5000  0.0000  0.5000
Ga  0.1179  0.3679  0.7500
Ga  0.8821  0.6321  0.2500
O  0.2479  0.2398  0.0082
O  0.2513  0.2416  0.4903
O  0.2513  0.7610  0.0097
O  0.2684  0.7602  0.5082
O  0.7316  0.2398  0.4918
O  0.7487  0.2390  0.9903
O  0.7487  0.7584  0.5097
O  0.7521  0.7602  0.9918

## Properties
- space-group type = Imma (74)
- VASP energy (hartree per atom) = -0.24935


Entry 3:
# MgGaWO6

MgGaWO6 after structural relaxation (GGA+U, Alexandria).

a = 4.7141 Å, b = 4.7141 Å, c = 9.1428 Å
α = 90.00°, β = 90.00°, γ = 90.00°
Sites, in units of the cell vectors:
Mg  0.0000  0.0000  0.0000
Mg  0.5000  0.5000  0.5000
Ga  0.0000  0.0000  0.3309
Ga  0.5000  0.5000  0.8309
W  0.0000  0.0000  0.6669
W  0.5000  0.5000  0.1669
O  0.1891  0.1891  0.5031
O  0.2018  0.2018  0.8175
O  0.2057  0.2057  0.1711
O  0.2943  0.7057  0.6711
O  0.2982  0.7018  0.3175
O  0.3109  0.6891  0.0031
O  0.6891  0.3109  0.0031
O  0.7018  0.2982  0.3175
O  0.7057  0.2943  0.6711
O  0.7943  0.7943  0.1711
O  0.7982  0.7982  0.8175
O  0.8109  0.8109  0.5031

## Properties
- space-group type = P4_2nm (102)
- VASP energy (hartree per atom) = -0.23974


Entry 4:
# MgGa4W2O12

MgGa4W2O12 after structural relaxation (GGA+U, Alexandria).

a = 4.7472 Å, b = 9.1866 Å, c = 4.7715 Å
α = 90.00°, β = 90.87°, γ = 90.00°
Sites, in units of the cell vectors:
Mg  0.0000  0.0000  0.0000
Ga  0.0000  0.6329  0.5000
Ga  0.0000  0.9660  0.5000
Ga  0.5000  0.1497  0.0000
Ga  0.5000  0.4680  0.0000
W  0.0000  0.3087  0.5000
W  0.5000  0.7951  0.0000
O  0.1724  0.1323  0.2815
O  0.1768  0.8137  0.2681
O  0.1875  0.4707  0.3003
O  0.3089  0.3022  0.7892
O  0.3157  0.6362  0.7931
O  0.3273  0.9714  0.7845
O  0.6727  0.9714  0.2155
O  0.6843  0.6362  0.2069
O  0.6911  0.3022  0.2108
O  0.8125  0.4707  0.6997
O  0.8232  0.8137  0.7319
O  0.8276  0.1323  0.7185

## Properties
- space-group type = P2 (3)
- VASP energy (hartree per atom) = -0.23803